First-principles (GGA-PBE) data for an optimized crystal structure of KSc2Os, as listed in Alexandria.

a b c (Å): 7.8588 7.8588 7.8889
angles (deg): 60.13 60.13 90.00
With the nearest neighbours (Å) after each atom.
Fractional coordinates of all 8 atoms:
Sc1 0.8747 0.1250 0.2500  2 Os 2.41
Sc2 0.8753 0.6250 0.2500  2 Os 2.41
Sc3 0.3750 0.1253 0.7500  2 Os 2.41
Sc4 0.8750 0.1247 0.7500  2 Os 2.41
Os1 0.0000 0.0000 0.0000  4 Sc 2.41
Os2 0.7500 0.2500 0.5000  4 Sc 2.41
K1 0.2500 0.7500 0.5000  12 Sc 4.61-4.64, 4 Os 4.82, 4 K 4.82
K2 0.5000 0.5000 0.0000  12 Sc 4.61-4.64, 4 K 4.82, 4 Os 4.82

VASP energy   -5.600 eV/atom
SG   No. 141
Mass density   3.07 g/cm3